# 1
DFT (PBE) results for a relaxed structure of Ba2HgPb2.

Cell: 10.002 10.002 4.131 Å, 90.00 90.00 90.00°
Element x y z (fractional)
Pb: 0.391 0.109 0.500
Pb: 0.609 0.891 0.500
Ba: 0.813 0.687 0.000
Hg: 0.500 0.500 0.000
Pb: 0.891 0.391 0.500
Pb: 0.109 0.609 0.500
Hg: 0.000 0.000 0.000
Ba: 0.313 0.813 0.000
Ba: 0.687 0.187 0.000
Ba: 0.187 0.313 0.000

E_form	-0.3759	eV/atom
symmetry	No. 127

# 2
DFT (PBE) results for a relaxed structure of SnTePd6.

Cell: 7.122 7.589 5.215 Å, 43.04 47.13 58.01°
Element x y z (fractional)
Pd: 0.060 0.564 0.125
Pd: 0.748 0.942 0.746
Sn: 0.500 0.500 0.500
Pd: 0.252 0.058 0.254
Te: 0.000 0.000 0.000
Pd: 0.940 0.436 0.875
Pd: 0.566 0.748 0.626
Pd: 0.434 0.252 0.374

ΔE_f (raw)	-0.28	eV per atom
symmetry	No. 2

# 3
DFT (PBE) results for a relaxed structure of ZnCu2Au2.

Cell: 6.540 6.540 3.652 Å, 90.00 90.00 90.00°
Element x y z (fractional)
Cu: 0.867 0.633 0.000
Cu: 0.133 0.367 0.000
Au: 0.833 0.333 0.500
Cu: 0.367 0.867 0.000
Cu: 0.633 0.133 0.000
Au: 0.667 0.833 0.500
Au: 0.167 0.667 0.500
Zn: 0.000 0.000 0.000
Zn: 0.500 0.500 0.000
Au: 0.333 0.167 0.500

E_form	-0.0177	eV/atom
symmetry	No. 127

# 4
DFT (PBE) results for a relaxed structure of B2C3.

Cell: 4.706 4.706 6.401 Å, 62.71 62.71 31.27°
Element x y z (fractional)
C: 0.589 0.589 0.989
B: 0.207 0.207 0.831
B: 0.818 0.818 0.439
C: 0.411 0.411 0.011
B: 0.182 0.182 0.561
C: 0.403 0.403 0.774
C: 0.993 0.993 0.629
C: 0.597 0.597 0.226
C: 0.007 0.007 0.371
B: 0.793 0.793 0.169

E_form	0.4164	eV/atom
symmetry	No. 12